VASP calculation (GGA-PBE) on an optimized crystal structure of Ru2AuC.

```
Ru2AuC
1.0
-3.183 3.183 2.715
3.183 -3.183 2.715
3.183 3.183 -2.715
Ru Au C
4 2 2
Cartesian
4.775 0.979 -0.679 Ru
0.979 1.592 0.679 Ru
-1.592 2.205 2.036 Ru
2.205 1.592 3.394 Ru
3.183 0.000 1.358 Au
0.000 0.000 2.715 Au
0.000 0.000 0.000 C
0.000 3.183 1.358 C
```

Output
Formation energy from the elements (meV per atom): 555
DFT total energy (eV/atom): -7.21
DOS(E_F) (states/eV/atom): 1.139
Calculated volume (Å³ per cell): 110.1